No. 1
First-principles (meta-GGA SCAN) data for a PBEsol-optimized structure of AlSbRh2, as listed in Alexandria via LeMat-Bulk.

## Properties
Theoretical density (kg/m³): 8781
DOS at the Fermi energy (states/eV per cell): 3.216
Total magnetic moment (μB per cell): 0.00
Uncorrected formation energy (eV/atom): -0.108
Final energy (eV/atom): -28.246

Geometry as POSCAR:
```
AlSbRh2
1.0
3.086 0.000 0.000
1.543 2.673 0.000
1.543 0.891 8.129
Sb Rh Al
1 2 1
direct
0.494 0.494 0.519
0.995 0.995 0.014
0.750 0.750 0.750
0.261 0.261 0.217
```

No. 2
First-principles (meta-GGA SCAN) data for a PBEsol-optimized structure of FeRe2Rh, as listed in Alexandria via LeMat-Bulk.

## Properties
ΔH_f (0 K) (eV/atom): 0.40
Energy relative to the lowest polymorph listed for this composition (eV per formula unit): 1.58
Theoretical density (kg/m³): 16196
DOS at the Fermi energy (states/eV per cell): 4.940
Total magnetic moment (μB per cell): 1.37
Final energy (eV/atom): -48.128

Geometry as POSCAR:
```
FeRe2Rh
1.0
4.255 0.000 0.000
2.127 3.685 0.000
2.127 1.228 3.474
Fe Re Rh
1 2 1
direct
0.000 0.000 0.000
0.250 0.250 0.250
0.750 0.750 0.750
0.500 0.500 0.500
```

No. 3
First-principles (meta-GGA SCAN) data for a PBEsol-optimized structure of TlNiCl, as listed in Alexandria via LeMat-Bulk.

## Properties
Energy relative to the lowest polymorph listed for this composition (eV per formula unit): 0.10
Theoretical density (kg/m³): 8202
DOS at the Fermi energy (states/eV per cell): 1.360
Total magnetic moment (μB per cell): 0.77
Uncorrected formation energy (eV/atom): -0.017
Final energy (eV/atom): -32.187

Geometry as POSCAR:
```
TlNiCl
1.0
3.289 0.200 0.000
-0.969 3.149 0.000
-1.160 -1.675 5.728
Ni Tl Cl
1 1 1
direct
0.372 0.372 0.743
0.686 0.686 0.372
0.942 0.942 0.885
```

Question: Which value of theoretical density does entry 2 give?
Answer: 16196 kg/m³